--- one ---
Compound: Pr2Sn2Rh
Source: Alexandria via LeMat-Bulk
Functional: PBE
Structure: optimized geometry

Values from the calculation:
space group: C2/m (12)

a b c (Å): 4.6195 6.1374 10.3812
angles (deg): 88.44 77.14 67.89
Fractional coordinates of all 10 atoms:
Pr 0.6691 0.3316 0.3302
Pr 0.9358 0.2527 0.8756
Pr 0.3309 0.6684 0.6698
Pr 0.0642 0.7473 0.1244
Sn 0.1067 0.2353 0.5513
Sn 0.6423 0.8345 0.8808
Sn 0.8933 0.7647 0.4487
Sn 0.3577 0.1655 0.1192
Rh 0.6089 0.1150 0.6673
Rh 0.3911 0.8850 0.3327

---

--- two ---
Compound: Pr2Sn2Rh
Source: Alexandria via LeMat-Bulk
Functional: PBE
Structure: optimized geometry

Values from the calculation:
space group: Ibam (72)

a b c (Å): 6.4187 6.8165 8.1307
angles (deg): 114.78 113.25 90.00
Fractional coordinates of all 10 atoms:
Pr 0.8703 0.6606 0.7405
Pr 0.1297 0.3394 0.2595
Pr 0.6297 0.9201 0.2595
Pr 0.3703 0.0799 0.7405
Sn 0.3799 0.6028 0.7598
Sn 0.6201 0.3972 0.2402
Sn 0.1201 0.8430 0.2402
Sn 0.8799 0.1570 0.7598
Rh 0.7500 0.5000 0.0000
Rh 0.2500 0.5000 0.0000

---

Among the structures shown above, one is the most stable, with the second-best lying 176 meV/atom higher.